1.
KSr2Ru, optimized geometry, DFT PBE; symmetry = No. 166; ΔH_f (0 K) = 0.46 eV per atom; spin magnetization = 0.0 Bohr magnetons per cell; total DFT energy (no corrections) = -2.970 eV per atom
1.0
2.0322 1.1733 11.7282
-2.0322 1.1733 11.7282
0.0000 -2.3466 11.7282
K Sr Ru
1 2 1
Direct
0.0000 0.0000 0.0000
0.2196 0.2196 0.2196
0.7804 0.7804 0.7804
0.5000 0.5000 0.5000

2.
KSr2Ru, optimized geometry, DFT PBE; symmetry = No. 216; ΔH_f (0 K) = 0.83 eV per atom; spin magnetization = 0.5 Bohr magnetons per cell; total DFT energy (no corrections) = -2.602 eV per atom
1.0
0.0000 4.0321 4.0321
4.0321 0.0000 4.0321
4.0321 4.0321 0.0000
K Sr Ru
1 2 1
Direct
0.0000 0.0000 0.0000
0.5000 0.5000 0.5000
0.7500 0.7500 0.7500
0.2500 0.2500 0.2500

3.
KSrRu, optimized geometry, DFT PBE; symmetry = No. 156; ΔH_f (0 K) = 0.96 eV per atom; spin magnetization = 0.1 Bohr magnetons per cell; total DFT energy (no corrections) = -3.059 eV per atom
1.0
3.6413 0.0000 0.0000
-1.8206 3.1535 0.0000
0.0000 0.0000 8.7077
K Sr Ru
1 1 1
Direct
0.0000 0.0000 0.0000
0.3333 0.6667 0.5127
0.6667 0.3333 0.2824

4.
KSrRu, optimized geometry, DFT PBE; symmetry = No. 216; ΔH_f (0 K) = 1.07 eV per atom; spin magnetization = 1.0 Bohr magnetons per cell; total DFT energy (no corrections) = -2.948 eV per atom
1.0
0.0000 3.7627 3.7627
3.7627 0.0000 3.7627
3.7627 3.7627 0.0000
K Sr Ru
1 1 1
Direct
0.0000 0.0000 0.0000
0.5000 0.5000 0.5000
0.2500 0.2500 0.2500